This record from Alexandria via LeMat-Bulk describes a relaxed ZrTi3Mo crystal. The functional is GGA-PBE.

**Relative energy among the computed polymorphs**: 1336 meV per atom
**Density of states at the Fermi level**: 1.896 states/eV per atom
**Uncorrected energy**: -35.8 eV per cell

Unit cell a=4.662 b=4.662 c=4.662 alpha=90.00 beta=90.00 gamma=90.00
Fractional positions:
Zr1 0.000 0.000 0.000
Ti1 0.000 0.000 0.500
Ti2 0.000 0.500 0.000
Ti3 0.500 0.000 0.000
Mo1 0.500 0.500 0.500